The following is a DFT calculation (GGA+U) of crystalline LaVSO2 at its relaxed geometry.

E_tot = -7.582 eV/atom
calculated volume = 87.8 Å³/f.u.

Cell lengths 3.892, 4.100, 5.503 Å; angles 90.00, 90.00, 90.00 degrees
Sites, in units of the cell vectors:
La: 0.000 0.000 0.000
V: 0.500 0.500 0.658
S: 0.500 0.500 0.227
O: 0.000 0.500 0.754
O: 0.500 0.000 0.748